The following is a PBE calculation of a geometry-optimized Y2BeTcC structure, from the Alexandria database.

Space-group type: P4/mmm (123)
E, eV/cell: -36.6

a b c (Å): 4.8948 4.8948 3.9497
angles (deg): 90.00 90.00 90.00
With the nearest neighbours (Å) after each atom.
Sites, in units of the cell vectors:
Y1 0.0000 0.5000 0.0000  2 C 2.45
Y2 0.5000 0.0000 0.0000  2 C 2.45
Be1 0.0000 0.0000 0.5000  8 Y 3.14, 4 Tc 3.46
Tc1 0.5000 0.5000 0.5000  2 C 1.97
C1 0.5000 0.5000 0.0000  2 Tc 1.97

The following is a PBE calculation of a geometry-optimized BeZnTc2C structure, from the Alexandria database.

Space-group type: P4/mmm (123)
Energy relative to the lowest polymorph listed for this composition, eV per formula unit: 0.00
E, eV/cell: -34.3

a b c (Å): 4.1481 4.1481 3.4180
angles (deg): 90.00 90.00 90.00
With the nearest neighbours (Å) after each atom.
Sites, in units of the cell vectors:
Be1 0.0000 0.0000 0.0000  2 C 1.71
Zn1 0.5000 0.5000 0.0000  8 Tc 2.69, 4 Be 2.93
Tc1 0.0000 0.5000 0.5000  2 C 2.07
Tc2 0.5000 0.0000 0.5000  2 C 2.07
C1 0.0000 0.0000 0.5000  2 Be 1.71

The following is a PBE calculation of a geometry-optimized BeZnTc2C structure, from the Alexandria database.

Space-group type: P4/mmm (123)
Energy relative to the lowest polymorph listed for this composition, eV per formula unit: 4.47
E, eV/cell: -29.8

a b c (Å): 4.3522 4.3522 3.1347
angles (deg): 90.00 90.00 90.00
With the nearest neighbours (Å) after each atom.
Sites, in units of the cell vectors:
Be1 0.0000 0.0000 0.0000  2 C 1.57
Zn1 0.5000 0.5000 0.5000  8 Tc 2.68
Tc1 0.0000 0.5000 0.0000  2 Be 2.18
Tc2 0.5000 0.0000 0.0000  2 Be 2.18
C1 0.0000 0.0000 0.5000  2 Be 1.57

The following is a PBE calculation of a geometry-optimized BeTeC2 structure, from the Alexandria database.

Space-group type: Fm-3m (225)
Energy relative to the lowest polymorph listed for this composition, eV per formula unit: 5.17
E, eV/cell: -63.6
ΔE_f (raw), eV/atom: 2.352

a b c (Å): 5.6511 5.6511 5.6511
angles (deg): 90.00 90.00 90.00
With the nearest neighbours (Å) after each atom.
Sites, in units of the cell vectors:
Be1 0.0000 0.0000 0.0000  8 C 2.45
Be2 0.0000 0.5000 0.5000  8 C 2.45
Be3 0.5000 0.0000 0.5000  8 C 2.45
Be4 0.5000 0.5000 0.0000  8 C 2.45
Te1 0.0000 0.0000 0.5000  8 C 2.45
Te2 0.0000 0.5000 0.0000  8 C 2.45
Te3 0.5000 0.0000 0.0000  8 C 2.45
Te4 0.5000 0.5000 0.5000  8 C 2.45
C1 0.2500 0.2500 0.2500  4 Te 2.45, 4 Be 2.45
C2 0.2500 0.2500 0.7500  4 Te 2.45, 4 Be 2.45
C3 0.2500 0.7500 0.2500  4 Te 2.45, 4 Be 2.45
C4 0.2500 0.7500 0.7500  4 Te 2.45, 4 Be 2.45
C5 0.7500 0.2500 0.2500  4 Te 2.45, 4 Be 2.45
C6 0.7500 0.2500 0.7500  4 Te 2.45, 4 Be 2.45
C7 0.7500 0.7500 0.2500  4 Te 2.45, 4 Be 2.45
C8 0.7500 0.7500 0.7500  4 Be 2.45, 4 Te 2.45

The following is a PBE calculation of a geometry-optimized Be3TeC structure, from the Alexandria database.

Space-group type: Pm-3m (221)
Energy relative to the lowest polymorph listed for this composition, eV per formula unit: 10.52
E, eV/cell: -11.1
ΔE_f (raw), eV/atom: 2.493

a b c (Å): 4.6096 4.6096 4.6096
angles (deg): 90.00 90.00 90.00
With the nearest neighbours (Å) after each atom.
Sites, in units of the cell vectors:
Be1 0.0000 0.0000 0.5000  2 Te 2.30
Be2 0.0000 0.5000 0.0000  2 Te 2.30
Be3 0.5000 0.0000 0.0000  2 Te 2.30
Te1 0.0000 0.0000 0.0000  6 Be 2.30
C1 0.5000 0.5000 0.5000  12 Be 3.26

The following is a PBE calculation of a geometry-optimized BeTeC2 structure, from the Alexandria database.

Space-group type: I-42d (122)
Energy relative to the lowest polymorph listed for this composition, eV per formula unit: 0.00
E, eV/cell: -84.3
ΔE_f (raw), eV/atom: 1.060

a b c (Å): 4.6002 4.6002 9.3363
angles (deg): 90.00 90.00 90.00
With the nearest neighbours (Å) after each atom.
Sites, in units of the cell vectors:
Be1 0.0000 0.0000 0.0000  4 C 1.90
Be2 0.0000 0.5000 0.2500  4 C 1.90
Be3 0.5000 0.0000 0.7500  4 C 1.90
Be4 0.5000 0.5000 0.5000  4 C 1.90
Te1 0.0000 0.0000 0.5000  4 C 2.12
Te2 0.0000 0.5000 0.7500  4 C 2.12
Te3 0.5000 0.0000 0.2500  4 C 2.12
Te4 0.5000 0.5000 0.0000  4 C 2.12
C1 0.2078 0.2500 0.1250  2 Be 1.90, 2 Te 2.12
C2 0.2500 0.7078 0.3750  2 Be 1.90, 2 Te 2.12
C3 0.2500 0.7922 0.8750  2 Be 1.90, 2 Te 2.12
C4 0.2922 0.2500 0.6250  2 Be 1.90, 2 Te 2.12
C5 0.7078 0.7500 0.6250  2 Be 1.90, 2 Te 2.12
C6 0.7500 0.2078 0.8750  2 Be 1.90, 2 Te 2.12
C7 0.7500 0.2922 0.3750  2 Be 1.90, 2 Te 2.12
C8 0.7922 0.7500 0.1250  2 Be 1.90, 2 Te 2.12